## one
Computed, not measured: an optimized crystal structure of LaBeH at the PBE-GGA level of DFT.

Results
DOS(E_F): 4.238 states/eV per cell

abc: 3.8205 4.8407 9.9882
angles: 90.00 90.00 90.00
Sites, in units of the cell vectors:
Be 0.5000 0.0000 0.9671
Be 0.5000 0.5000 0.5853
Be 0.0000 0.5000 0.4671
Be 0.0000 0.0000 0.0853
H 0.0000 0.7158 0.3546
H 0.5000 0.2158 0.8546
H 0.5000 0.7842 0.8546
H 0.0000 0.2842 0.3546
La 0.0000 0.5000 0.8962
La 0.5000 0.0000 0.3962
La 0.5000 0.5000 0.1920
La 0.0000 0.0000 0.6920

***

## two
Computed, not measured: an optimized crystal structure of LaBeH at the PBE-GGA level of DFT.

Results
DOS(E_F): 8.197 states/eV per cell

abc: 4.1185 4.4878 10.7721
angles: 90.00 90.00 90.00
Sites, in units of the cell vectors:
Be 0.5000 0.5000 0.5303
Be 0.0000 0.5000 0.4264
Be 0.5000 0.0000 0.0303
Be 0.0000 0.0000 0.9264
La 0.0000 0.5000 0.1109
La 0.5000 0.5000 0.8255
La 0.5000 0.0000 0.3255
La 0.0000 0.0000 0.6109
H 0.5000 0.7569 0.1267
H 0.5000 0.7431 0.6267
H 0.5000 0.2569 0.6267
H 0.5000 0.2431 0.1267

***

Most stable of them? two.

***

## one
Computed, not measured: an optimized crystal structure of LaBeH at the PBE-GGA level of DFT.

Results
DOS(E_F): 2.907 states/eV per cell

abc: 4.0219 4.4160 5.9472
angles: 68.56 79.63 89.72
Sites, in units of the cell vectors:
Be 0.3646 0.5955 0.9543
Be 0.8141 0.4756 0.1580
H 0.6005 0.7168 0.6963
H 0.8085 0.1223 0.1966
La 0.8401 0.1681 0.7845
La 0.2705 0.8855 0.3606

***

## two
Computed, not measured: an optimized crystal structure of LaBeH at the PBE-GGA level of DFT.

Results
DOS(E_F): 1.957 states/eV per cell

abc: 3.7270 4.0543 6.7961
angles: 90.00 105.78 90.00
Sites, in units of the cell vectors:
H 0.0494 0.5000 0.8484
H 0.6979 0.0000 0.2478
Be 0.4763 0.5000 0.8632
Be 0.5808 0.0000 0.0126
La 0.1732 0.5000 0.2118
La 0.9084 0.0000 0.6661

***

Most stable of them? two.

***

## one
Computed, not measured: an optimized crystal structure of LaBe2H2 at the PBE-GGA level of DFT.

Results
DOS(E_F): 2.371 states/eV per cell

abc: 3.1631 3.1631 6.2154
angles: 75.26 75.26 90.00
Sites, in units of the cell vectors:
H 0.4099 0.4099 0.1801
H 0.5901 0.5901 0.8199
Be 0.7500 0.2500 0.5000
Be 0.2500 0.7500 0.5000
La 0.0000 0.0000 0.0000

***

## two
Computed, not measured: an optimized crystal structure of LaBe2H2 at the PBE-GGA level of DFT.

Results
DOS(E_F): 3.883 states/eV per cell

abc: 6.2894 6.2894 3.2190
angles: 90.00 90.00 90.00
Sites, in units of the cell vectors:
H 0.8867 0.6133 0.0000
H 0.3867 0.8867 0.0000
H 0.1133 0.3867 0.0000
H 0.6133 0.1133 0.0000
Be 0.3859 0.1141 0.5000
Be 0.6141 0.8859 0.5000
Be 0.8859 0.3859 0.5000
Be 0.1141 0.6141 0.5000
La 0.5000 0.5000 0.0000
La 0.0000 0.0000 0.0000

***

Most stable of them? one.

***

## one
Computed, not measured: an optimized crystal structure of LaBe2H at the PBE-GGA level of DFT.

Results
DOS(E_F): 4.372 states/eV per cell

abc: 5.3223 5.3223 5.3307
angles: 60.05 60.05 90.00
Sites, in units of the cell vectors:
H 0.5000 0.5000 0.0000
H 0.2500 0.7500 0.5000
Be 0.3750 0.1250 0.2500
Be 0.8750 0.6250 0.7500
Be 0.3750 0.6250 0.2500
Be 0.3750 0.6250 0.7500
La 0.7500 0.2500 0.5000
La 0.0000 0.0000 0.0000

***

## two
Computed, not measured: an optimized crystal structure of LaBe2H at the PBE-GGA level of DFT.

Results
DOS(E_F): 1.094 states/eV per cell

abc: 4.5095 4.5095 4.5095
angles: 60.00 60.00 60.00
Sites, in units of the cell vectors:
H 0.0000 0.0000 0.0000
Be 0.2500 0.2500 0.2500
Be 0.7500 0.7500 0.7500
La 0.5000 0.5000 0.5000

***

Most stable of them? one.